A crystal of Y2B6Rh9 relaxed with PBEsol. Source: Alexandria via LeMat-Bulk, functional SCAN.

Mass density in g/cm³: 8.637
Raw total energy in eV/atom: -24.5415

Cell lengths 5.5339, 5.5339, 8.4737 Å; angles 90.00, 90.00, 120.00 degrees
Closest atoms and distances in Å follow each position.
Space group P6/mmm (No. 191)
Unique sites:
Y 0.0000 0.0000 0.2056 x2  12 Rh 2.98-3.27, 6 B 3.21
B 0.3333 0.6667 0.1674 x4  6 Rh 2.14
B 0.3333 0.6667 0.5000 x2  6 Rh 2.12
Rh 0.0000 0.5000 0.0000 x3  4 B 2.14
Rh 0.0000 0.5000 0.3359 x6  4 B 2.12-2.14



A crystal of TaCoSb4 relaxed with PBEsol. Source: Alexandria via LeMat-Bulk, functional SCAN.

Uncorrected formation energy in eV per formula unit: 7.91
Mass density in g/cm³: 8.452
Raw total energy in eV/atom: -37.5026

Cell lengths 8.2973, 8.2973, 8.2973 Å; angles 90.00, 90.00, 90.00 degrees
Closest atoms and distances in Å follow each position.
Space group F-43m (No. 216)
Unique sites:
Ta 0.0000 0.0000 0.0000 x4  12 Sb 3.44, 4 Co 3.59
Co 0.2500 0.2500 0.7500 x4  12 Sb 3.44, 4 Ta 3.59
Sb 0.1251 0.1251 0.3749 x16  6 Sb 2.93-2.94



A crystal of PaP2 relaxed with PBEsol. Source: Alexandria via LeMat-Bulk, functional SCAN.

Mass density in g/cm³: 8.635
Raw total energy in eV/atom: -41.1990

Cell lengths 3.8200, 3.8200, 7.7221 Å; angles 90.00, 90.00, 90.00 degrees
Closest atoms and distances in Å follow each position.
Space group P4/nmm (No. 129, origin choice 2)
Unique sites:
Pa 0.2500 0.2500 0.2195 x2  9 P 2.77-2.89
P 0.2500 0.2500 0.8575 x2  5 Pa 2.77-2.80
P 0.2500 0.7500 0.5000 x2  4 P 2.70, 4 Pa 2.89